Entry 1:
Entry from the Alexandria database: a relaxed structure of LaReN3 (PBE-GGA).

a b c (Å): 4.095 5.753 6.808
angles (deg): 106.36 102.13 97.04
Atoms (fractional coordinates):
La (0.000, 0.000, 0.000)
La (0.274, 0.773, 0.475)
Re (0.477, 0.402, 0.797)
Re (0.762, 0.292, 0.468)
N (0.202, 0.509, 0.975)
N (0.230, 0.319, 0.478)
N (0.447, 0.081, 0.817)
N (0.563, 0.000, 0.264)
N (0.765, 0.640, 0.663)
N (0.939, 0.549, 0.040)

Summary:
ΔE_f (raw): -463 meV/atom
Symmetry: No. 1
Volume: 148 Å³ per cell

=====

Entry 2:
Entry from the Alexandria database: a relaxed structure of La2ReN (PBE-GGA).

a b c (Å): 6.893 6.893 8.204
angles (deg): 90.00 90.00 90.00
Atoms (fractional coordinates):
La (0.187, 0.250, 0.125)
La (0.250, 0.687, 0.375)
La (0.250, 0.813, 0.875)
La (0.313, 0.250, 0.625)
La (0.687, 0.750, 0.625)
La (0.750, 0.187, 0.875)
La (0.750, 0.313, 0.375)
La (0.813, 0.750, 0.125)
Re (0.000, 0.000, 0.500)
Re (0.000, 0.500, 0.750)
Re (0.500, 0.000, 0.250)
Re (0.500, 0.500, 0.000)
N (0.000, 0.000, 0.000)
N (0.000, 0.500, 0.250)
N (0.500, 0.000, 0.750)
N (0.500, 0.500, 0.500)

Summary:
ΔE_f (raw): 191 meV/atom
Symmetry: No. 122
Volume: 390 Å³ per cell

=====

Entry 3:
Entry from the Alexandria database: a relaxed structure of LaReN3 (PBE-GGA).

a b c (Å): 7.492 6.936 6.881
angles (deg): 90.00 117.28 90.00
Atoms (fractional coordinates):
La (0.116, 0.250, 0.058)
La (0.116, 0.250, 0.558)
La (0.884, 0.750, 0.442)
La (0.884, 0.750, 0.942)
Re (0.311, 0.637, 0.405)
Re (0.311, 0.863, 0.905)
Re (0.689, 0.137, 0.095)
Re (0.689, 0.363, 0.595)
N (0.030, 0.537, 0.266)
N (0.030, 0.963, 0.766)
N (0.295, 0.749, 0.147)
N (0.295, 0.751, 0.647)
N (0.380, 0.135, 0.940)
N (0.380, 0.365, 0.440)
N (0.620, 0.635, 0.560)
N (0.620, 0.865, 0.060)
N (0.705, 0.249, 0.353)
N (0.705, 0.251, 0.853)
N (0.970, 0.037, 0.234)
N (0.970, 0.463, 0.734)

Summary:
ΔE_f (raw): -549 meV/atom
Symmetry: No. 14
Volume: 318 Å³ per cell

=====

Entry 4:
Entry from the Alexandria database: a relaxed structure of LaReN3 (PBE-GGA).

a b c (Å): 9.983 9.983 9.983
angles (deg): 157.12 157.12 32.58
Atoms (fractional coordinates):
La (0.095, 0.095, 0.000)
La (0.905, 0.905, 0.000)
Re (0.500, 0.500, 0.000)
Re (0.750, 0.250, 0.500)
N (0.001, 0.501, 0.500)
N (0.156, 0.323, 0.833)
N (0.489, 0.323, 0.167)
N (0.499, 0.999, 0.500)
N (0.677, 0.511, 0.833)
N (0.677, 0.844, 0.167)

Summary:
ΔE_f (raw): -346 meV/atom
Symmetry: No. 119
Volume: 150 Å³ per cell

=====

Entry 5:
Entry from the Alexandria database: a relaxed structure of La2Re2N5 (PBE-GGA).

a b c (Å): 3.978 3.978 7.621
angles (deg): 90.00 90.00 90.00
Atoms (fractional coordinates):
La (0.000, 0.000, 0.000)
La (0.000, 0.000, 0.500)
Re (0.500, 0.500, 0.245)
Re (0.500, 0.500, 0.755)
N (0.000, 0.500, 0.227)
N (0.000, 0.500, 0.773)
N (0.500, 0.000, 0.227)
N (0.500, 0.000, 0.773)
N (0.500, 0.500, 0.500)

Summary:
ΔE_f (raw): -801 meV/atom
Symmetry: No. 123
Volume: 121 Å³ per cell

=====

Entry 6:
Entry from the Alexandria database: a relaxed structure of LaReN3 (PBE-GGA).

a b c (Å): 7.129 7.129 5.038
angles (deg): 90.00 90.00 150.43
Atoms (fractional coordinates):
La (0.158, 0.842, 0.750)
La (0.842, 0.158, 0.250)
Re (0.456, 0.544, 0.750)
Re (0.544, 0.456, 0.250)
N (0.000, 0.000, 0.000)
N (0.000, 0.000, 0.500)
N (0.014, 0.349, 0.750)
N (0.349, 0.014, 0.250)
N (0.651, 0.986, 0.750)
N (0.986, 0.651, 0.250)

Summary:
ΔE_f (raw): -143 meV/atom
Symmetry: No. 63
Volume: 126 Å³ per cell